#i
SrMgIn6 | PBE | relaxed

a = 4.7515 Å, b = 4.7515 Å, c = 10.3291 Å
α = 90.00°, β = 90.00°, γ = 90.00°
Closest atoms and distances in Å follow each position.
Atoms (fractional coordinates):
Sr: 0.0000 0.0000 0.0000  16 In 3.65-4.06
Mg: 0.0000 0.0000 0.5000  8 In 3.02
In: 0.0000 0.5000 0.3190  2 Mg 3.02, 6 In 3.03-3.36
In: 0.0000 0.5000 0.6810  2 Mg 3.02, 6 In 3.03-3.36
In: 0.5000 0.0000 0.3190  2 Mg 3.02, 6 In 3.03-3.36
In: 0.5000 0.0000 0.6810  2 Mg 3.02, 6 In 3.03-3.36
In: 0.5000 0.5000 0.1376  5 In 2.84-3.03
In: 0.5000 0.5000 0.8624  5 In 2.84-3.03

total magnetic moment	0.0	μB per cell



#ii
SrMgIn6 | PBE | relaxed

a = 4.9669 Å, b = 6.9540 Å, c = 6.9540 Å
α = 66.60°, β = 90.00°, γ = 90.00°
Closest atoms and distances in Å follow each position.
Atoms (fractional coordinates):
Sr: 0.0000 0.0000 0.0000  10 In 3.37-3.54
Mg: 0.5000 0.7397 0.7397  8 In 3.22-3.32
In: 0.0000 0.0278 0.4975  5 In 3.16-3.31, 2 Mg 3.22, 1 Sr 3.42
In: 0.0000 0.4975 0.0278  5 In 3.16-3.31, 2 Mg 3.22, 1 Sr 3.42
In: 0.0000 0.5525 0.5525  6 In 3.17, 2 Mg 3.30
In: 0.5000 0.1964 0.1964  6 In 3.16-3.33, 2 Sr 3.37
In: 0.5000 0.2438 0.6547  6 In 3.14-3.33, 1 Mg 3.32, 2 Sr 3.40
In: 0.5000 0.6547 0.2438  6 In 3.14-3.33, 1 Mg 3.32, 2 Sr 3.40

total magnetic moment	0.0	μB per cell



Stability ranking, top entry: #ii; the second entry is 9 meV per atom less favorable.